Record 1
Below is LaTbPmNd3 after structural relaxation, with properties calculated at the PBE-GGA level.

extended XYZ file:
```
12
Lattice="-5.640 0.592 -1.448 4.617 -5.151 -8.256 -1.431 -6.036 3.108" Properties=species:S:1:pos:R:3 pbc="T T T"
La -0.121 -9.303 -3.329
La -2.333 -1.292 -3.268
Pm -2.279 -8.457 -6.407
Pm -0.176 -2.138 -0.189
Nd 1.369 -6.194 -7.862
Nd -0.485 -6.051 -0.584
Nd -1.970 -4.544 -6.012
Nd -2.873 -6.899 -3.459
Nd -3.824 -4.401 1.265
Nd 0.418 -3.696 -3.137
Tb -2.981 -3.975 -1.844
Tb 0.526 -6.620 -4.753
```

Output
formation energy from the elements: 161.4 meV/atom
energy: -4.607 eV/atom
crystal system: monoclinic

---

Record 2
Below is EuScP after structural relaxation, with properties calculated at the PBE-GGA level.

extended XYZ file:
```
3
Lattice="-1.786 3.867 -0.815 -1.888 -1.646 -3.673 -2.160 -0.179 3.881" Properties=species:S:1:pos:R:3 pbc="T T T"
Eu -3.169 1.420 -1.698
P -0.298 0.646 -0.136
Sc -2.367 -0.024 1.227
```

Output
formation energy from the elements: -760.9 meV/atom
energy: -8.100 eV/atom
crystal system: hexagonal

---

Record 3
Below is TcNiTe2N after structural relaxation, with properties calculated at the PBE-GGA level.

extended XYZ file:
```
5
Lattice="5.316 0.000 0.000 0.000 5.316 0.000 0.000 0.000 3.671" Properties=species:S:1:pos:R:3 pbc="T T T"
Te 0.000 2.658 0.000
Te 2.658 0.000 0.000
Ni 2.658 2.658 1.836
Tc 0.000 0.000 0.000
N 0.000 0.000 1.836
```

Output
energy: -5.568 eV/atom
crystal system: tetragonal
E_form (uncorrected): 583 meV per atom

---

Record 4
Below is TlPd2Pb5 after structural relaxation, with properties calculated at the PBE-GGA level.

extended XYZ file:
```
8
Lattice="-0.651 3.176 2.001 -6.726 0.752 -3.381 0.449 -6.107 6.213" Properties=species:S:1:pos:R:3 pbc="T T T"
Pb -6.522 0.897 0.081
Pb -2.844 0.486 1.930
Pb -0.405 -3.077 4.752
Pb -4.084 -2.666 2.903
Pb -3.363 0.376 -1.690
Pd -2.338 -0.986 4.432
Pd -4.590 -1.194 0.402
Tl 0.000 0.000 0.000
```

Output
formation energy from the elements: -106.4 meV/atom
energy: -4.018 eV/atom
crystal system: orthorhombic

---

Record 5
Below is IrPt8Rh2 after structural relaxation, with properties calculated at the PBE-GGA level.

extended XYZ file:
```
11
Lattice="-1.803 -3.188 1.372 2.800 -4.132 -5.923 4.216 2.347 5.420" Properties=species:S:1:pos:R:3 pbc="T T T"
Pt 1.349 -3.086 0.176
Pt 3.658 -4.540 -0.169
Pt 1.555 -0.433 1.037
Pt 0.741 -1.093 -1.567
Pt 2.059 -3.039 -4.356
Pt 3.864 -1.887 0.692
Pt 2.509 0.112 3.558
Pt 2.704 -5.085 -2.690
Rh 2.934 -2.493 -1.938
Rh 2.279 -2.480 2.807
Ir -0.901 -1.594 0.686
```

Output
formation energy from the elements: 79.8 meV/atom
energy: -6.456 eV/atom
crystal system: orthorhombic

---

Record 6
Below is Pm3Dy2 after structural relaxation, with properties calculated at the PBE-GGA level.

extended XYZ file:
```
5
Lattice="5.101 0.000 0.000 2.551 5.694 -0.112 2.551 0.112 5.712" Properties=species:S:1:pos:R:3 pbc="T T T"
Pm 5.101 4.090 5.052
Pm 5.101 1.715 0.548
Pm 2.551 2.903 2.800
Dy 5.101 5.165 1.611
Dy 5.101 0.640 3.989
```

Output
formation energy from the elements: 16.5 meV/atom
energy: -4.675 eV/atom
crystal system: monoclinic

---

Record 7
Below is Rb2CaAgPd after structural relaxation, with properties calculated at the PBE-GGA level.

extended XYZ file:
```
5
Lattice="6.297 0.000 0.000 0.000 5.404 0.000 0.000 0.000 6.297" Properties=species:S:1:pos:R:3 pbc="T T T"
Ag 0.000 2.702 0.000
Ca 3.148 2.702 3.148
Rb 3.148 0.000 0.000
Rb 0.000 0.000 3.148
Pd 0.000 0.000 0.000
```

Output
formation energy from the elements: 333.9 meV/atom
energy: -2.062 eV/atom
crystal system: tetragonal

---

Record 8
Below is TbUNi4 after structural relaxation, with properties calculated at the PBE-GGA level.

extended XYZ file:
```
6
Lattice="5.044 0.000 0.000 2.522 4.368 0.000 2.522 1.456 4.118" Properties=species:S:1:pos:R:3 pbc="T T T"
Ni 5.044 1.462 2.572
Ni 3.788 3.637 2.572
Ni 6.300 3.637 2.572
Ni 5.044 2.912 0.521
Tb 0.000 0.000 0.000
U 2.522 1.456 1.030
```

Output
formation energy from the elements: -243.0 meV/atom
energy: -6.750 eV/atom
crystal system: cubic

---

Record 9
Below is TlPOs2 after structural relaxation, with properties calculated at the PBE-GGA level.

extended XYZ file:
```
4
Lattice="2.880 0.000 0.000 0.000 3.743 0.000 0.000 0.000 6.311" Properties=species:S:1:pos:R:3 pbc="T T T"
Tl 1.440 1.871 4.819
P 0.000 0.000 2.550
Os 1.440 1.871 1.828
Os 0.000 0.000 0.270
```

Output
formation energy from the elements: 503.7 meV/atom
energy: -7.055 eV/atom
crystal system: orthorhombic

---

Record 10
Below is Zr2PW after structural relaxation, with properties calculated at the PBE-GGA level.

extended XYZ file:
```
4
Lattice="3.456 0.000 0.000 0.000 3.456 0.000 0.000 0.000 6.047" Properties=species:S:1:pos:R:3 pbc="T T T"
P 1.728 1.728 3.023
W 1.728 1.728 0.000
Zr 0.000 0.000 4.483
Zr 0.000 0.000 1.564
```

Output
formation energy from the elements: -436.9 meV/atom
energy: -9.302 eV/atom
crystal system: tetragonal

---

Record 11
Below is Pr2SmThPt2 after structural relaxation, with properties calculated at the PBE-GGA level.

extended XYZ file:
```
12
Lattice="-4.249 -0.247 -5.744 3.572 -5.660 -2.399 -4.092 -1.309 7.531" Properties=species:S:1:pos:R:3 pbc="T T T"
Pr -1.231 -5.901 -3.284
Pr -4.022 -4.037 -1.300
Pr -0.747 -3.179 0.689
Pr -3.537 -1.315 2.673
Sm -1.062 -0.062 -1.436
Sm -3.186 -0.185 -4.308
Th -1.400 -3.015 -5.507
Th 0.724 -2.892 -2.635
Pt -2.662 -4.716 2.172
Pt 1.710 -5.058 -1.048
Pt -6.478 -2.158 0.436
Pt -2.107 -2.500 -2.783
```

Output
formation energy from the elements: -743.0 meV/atom
energy: -6.373 eV/atom
crystal system: orthorhombic

---

Record 12
Below is CoCuRh2 after structural relaxation, with properties calculated at the PBE-GGA level.

extended XYZ file:
```
4
Lattice="-1.400 4.731 1.321 -0.931 0.933 4.935 3.293 -1.375 -3.654" Properties=species:S:1:pos:R:3 pbc="T T T"
Rh -0.026 0.064 0.070
Rh -1.139 2.768 3.058
Cu 0.364 3.094 0.398
Co 0.598 1.195 2.204
```

Output
formation energy from the elements: 193.5 meV/atom
energy: -6.283 eV/atom
crystal system: orthorhombic

---

Record 13
Below is Mg3Nb after structural relaxation, with properties calculated at the PBE-GGA level.

extended XYZ file:
```
4
Lattice="2.873 0.000 0.000 0.000 5.077 0.000 0.000 0.000 5.624" Properties=species:S:1:pos:R:3 pbc="T T T"
Mg 1.437 2.538 4.870
Mg 0.000 2.538 1.862
Mg 0.000 0.000 3.654
Nb 1.437 0.000 0.860
```

Output
formation energy from the elements: 242.0 meV/atom
energy: -3.471 eV/atom
crystal system: orthorhombic

---

Record 14
Below is La2CeTlHg4 after structural relaxation, with properties calculated at the PBE-GGA level.

extended XYZ file:
```
8
Lattice="-2.610 3.802 -2.761 -5.084 1.217 1.250 0.413 8.021 5.424" Properties=species:S:1:pos:R:3 pbc="T T T"
Ce -3.640 6.520 1.957
La -1.907 3.074 0.805
La -5.373 9.966 3.108
Hg -4.706 4.249 -0.164
Hg -6.500 7.565 0.866
Hg -2.575 8.792 4.077
Hg -0.781 5.476 3.047
Tl 0.000 0.000 0.000
```

Output
formation energy from the elements: -398.0 meV/atom
energy: -2.818 eV/atom
crystal system: trigonal

---

Record 15
Below is La3Tb3Nd8 after structural relaxation, with properties calculated at the PBE-GGA level.

extended XYZ file:
```
14
Lattice="5.767 0.000 0.000 2.884 9.085 -2.910 2.884 -0.326 9.534" Properties=species:S:1:pos:R:3 pbc="T T T"
Tb 2.884 1.424 7.220
Tb 2.884 7.335 -0.596
Tb 2.884 0.000 0.000
Nd 5.767 0.882 5.058
Nd 5.767 7.877 1.566
Nd 5.767 5.107 -0.529
Nd 8.651 4.833 5.686
Nd 2.884 3.926 0.939
Nd 5.767 3.652 7.153
Nd 8.651 6.787 3.103
Nd 2.884 1.972 3.522
La 5.767 4.379 3.312
La 5.767 7.091 5.363
La 5.767 1.668 1.261
```

Output
formation energy from the elements: 112.2 meV/atom
energy: -4.660 eV/atom
crystal system: orthorhombic

---

Record 16
Below is NpCu2OsO6 after structural relaxation, with properties calculated at the PBE-GGA level.

extended XYZ file:
```
10
Lattice="5.290 -0.002 0.000 -2.646 4.583 0.000 -2.642 -1.525 4.910" Properties=species:S:1:pos:R:3 pbc="T T T"
O -1.912 0.099 3.529
O -1.690 2.872 3.530
O -1.003 1.419 1.187
O 1.084 1.677 3.529
O 1.994 2.997 1.186
O 1.772 0.225 1.186
Cu 0.043 0.020 3.633
Cu 0.039 3.077 1.087
Os 2.686 1.547 2.358
Np 0.042 3.076 4.813
```

Output
energy: -7.615 eV/atom
crystal system: trigonal
E_form (uncorrected): -1403 meV per atom

---

Record 17
Below is Tb7Pm4In after structural relaxation, with properties calculated at the PBE-GGA level.

extended XYZ file:
```
12
Lattice="-2.350 1.156 -5.334 -8.200 2.459 0.835 -2.179 9.480 -0.295" Properties=species:S:1:pos:R:3 pbc="T T T"
Tb -1.175 0.578 -2.667
Tb -7.114 8.940 -4.858
Tb -7.041 10.161 -1.316
Tb -5.615 4.155 0.064
Tb -10.754 6.572 -3.767
Tb -1.975 6.523 -1.026
Tb -5.689 2.934 -3.478
Pm -7.831 6.819 -1.692
Pm -2.757 3.360 -1.367
Pm -9.972 9.735 -3.426
Pm -4.898 6.277 -3.102
In 0.000 0.000 0.000
```

Output
formation energy from the elements: 134.8 meV/atom
energy: -4.378 eV/atom
crystal system: monoclinic

---

Record 18
Below is ZnAgBr2 after structural relaxation, with properties calculated at the PBE-GGA level.

extended XYZ file:
```
4
Lattice="-1.531 -7.283 4.324 2.306 -6.753 4.812 -0.232 -4.863 7.098" Properties=species:S:1:pos:R:3 pbc="T T T"
Br 0.118 -4.104 3.526
Br 0.017 -0.585 0.503
Zn 0.268 -9.320 8.007
Ag 0.412 -14.338 12.317
```

Output
energy: -2.106 eV/atom
crystal system: trigonal
E_form (uncorrected): -238 meV per atom

---

Record 19
Below is ZnSbO4 after structural relaxation, with properties calculated at the PBE-GGA level.

extended XYZ file:
```
12
Lattice="4.667 0.000 0.000 0.000 5.245 0.000 0.000 0.000 5.710" Properties=species:S:1:pos:R:3 pbc="T T T"
O 1.204 4.422 3.472
O 3.463 0.824 3.472
O 3.322 3.511 2.196
O 1.345 1.735 2.196
O 0.988 1.735 5.051
O 3.538 0.824 0.616
O 1.129 4.422 0.616
O 3.679 3.511 5.051
Sb 0.000 0.000 4.839
Sb 2.333 0.000 1.984
Zn 2.333 2.623 3.811
Zn 0.000 2.623 0.956
```

Output
energy: -5.317 eV/atom
crystal system: orthorhombic
E_form (uncorrected): -1112 meV per atom

---

Record 20
Below is TePtAuN2 after structural relaxation, with properties calculated at the PBE-GGA level.

extended XYZ file:
```
5
Lattice="3.903 0.000 0.000 0.000 3.903 0.000 0.000 0.000 7.708" Properties=species:S:1:pos:R:3 pbc="T T T"
Te 0.000 0.000 3.854
N 0.000 1.952 0.000
N 1.952 0.000 0.000
Au 0.000 0.000 0.000
Pt 1.952 1.952 3.854
```

Output
energy: -4.143 eV/atom
crystal system: tetragonal
E_form (uncorrected): 1680 meV per atom

---

Record 21
Below is CsCdSb after structural relaxation, with properties calculated at the PBE-GGA level.

extended XYZ file:
```
6
Lattice="-4.817 0.960 0.364 2.022 -3.538 2.766 2.256 8.043 8.641" Properties=species:S:1:pos:R:3 pbc="T T T"
Cs 0.000 0.000 0.000
Cs 1.128 4.022 4.321
Sb 0.306 -0.028 4.125
Sb -0.846 5.493 7.646
Cd -1.973 1.471 3.325
Cd 1.434 3.994 8.446
```

Output
energy: -2.375 eV/atom
crystal system: hexagonal
E_form (uncorrected): -411 meV per atom

---

Record 22
Below is NaTl3As after structural relaxation, with properties calculated at the PBE-GGA level.

extended XYZ file:
```
5
Lattice="5.703 0.000 0.000 0.000 5.703 0.000 0.000 0.000 5.703" Properties=species:S:1:pos:R:3 pbc="T T T"
Na 2.851 2.851 2.851
As 0.000 0.000 0.000
Tl 0.000 0.000 2.851
Tl 2.851 0.000 0.000
Tl 0.000 2.851 0.000
```

Output
formation energy from the elements: 216.9 meV/atom
energy: -2.397 eV/atom
crystal system: cubic

---

Record 23
Below is GdErZnOs after structural relaxation, with properties calculated at the PBE-GGA level.

extended XYZ file:
```
4
Lattice="-3.189 -3.714 -0.354 0.955 -4.274 2.216 -2.616 -1.370 3.920" Properties=species:S:1:pos:R:3 pbc="T T T"
Er -3.637 -7.018 4.337
Zn 0.000 0.000 0.000
Gd -1.212 -2.339 1.446
Os -2.425 -4.679 2.891
```

Output
formation energy from the elements: -269.8 meV/atom
energy: -8.057 eV/atom
crystal system: cubic

---

Record 24
Below is Ho5SnIr4 after structural relaxation, with properties calculated at the PBE-GGA level.

extended XYZ file:
```
10
Lattice="3.319 0.000 0.000 0.000 3.319 0.000 0.000 0.000 19.199" Properties=species:S:1:pos:R:3 pbc="T T T"
Ho 1.659 1.659 13.184
Ho 1.659 1.659 2.445
Ho 1.659 1.659 9.599
Ho 1.659 1.659 6.015
Ho 1.659 1.659 16.754
Ir 0.000 0.000 4.168
Ir 0.000 0.000 11.396
Ir 0.000 0.000 7.803
Ir 0.000 0.000 15.031
Sn 0.000 0.000 0.000
```

Output
formation energy from the elements: -820.0 meV/atom
energy: -7.054 eV/atom
crystal system: tetragonal

---

Record 25
Below is Cu2ICl after structural relaxation, with properties calculated at the PBE-GGA level.

extended XYZ file:
```
8
Lattice="5.721 0.000 0.000 0.000 5.721 0.000 2.860 2.860 5.801" Properties=species:S:1:pos:R:3 pbc="T T T"
Cu 4.107 1.430 1.450
Cu 1.613 4.290 1.450
Cu 4.290 4.474 4.351
Cu 7.151 6.968 4.351
Cl 2.860 5.721 2.900
Cl 2.860 2.860 0.000
I 0.000 0.000 0.000
I 5.721 2.860 2.900
```

Output
energy: -3.140 eV/atom
crystal system: tetragonal
E_form (uncorrected): -243 meV per atom